Record 1
Compound: NaNb2RhF
Source: the Alexandria database
Functional: GGA-PBEsol
Structure: optimized geometry

Computed properties:
**Energy relative to the elements, uncorrected**: 1128.7 meV per atom
**VASP energy**: -5.493 eV/atom

Unit cell a=4.8728 b=4.8728 c=3.5186 alpha=90.00 beta=90.00 gamma=90.00
Positions (direct):
1 Na 0.0000 0.0000 0.0000
2 Nb 0.0000 0.5000 0.0000
3 Nb 0.5000 0.0000 0.0000
4 Rh 0.5000 0.5000 0.5000
5 F 0.0000 0.0000 0.5000

***

Record 2
Compound: Na5Nd4Si4O16F
Source: the Alexandria database
Functional: GGA-PBEsol
Structure: optimized geometry

Computed properties:
**Energy relative to the elements, uncorrected**: -2916.1 meV per atom
**VASP energy**: -7.468 eV/atom

Unit cell a=8.8328 b=8.8328 c=8.8328 alpha=95.52 beta=95.52 gamma=143.85
Positions (direct):
1 Na 0.0000 0.0000 0.0000
2 Na 0.1203 0.4261 0.5164
3 Na 0.3961 0.8797 0.3058
4 Na 0.5739 0.0903 0.6942
5 Na 0.9097 0.6039 0.4836
6 Nd 0.3390 0.6393 0.9331
7 Nd 0.3607 0.2938 0.6998
8 Nd 0.5941 0.6610 0.3002
9 Nd 0.7062 0.4059 0.0669
10 Si 0.0924 0.7423 0.8544
11 Si 0.2577 0.1121 0.3501
12 Si 0.7620 0.9076 0.6499
13 Si 0.8879 0.2380 0.1456
14 O 0.0466 0.2257 0.7502
15 O 0.1356 0.6435 0.7222
16 O 0.1731 0.7386 0.0297
17 O 0.1779 0.4085 0.1362
18 O 0.2614 0.2911 0.4345
19 O 0.2723 0.0417 0.8638
20 O 0.3565 0.0787 0.4921
21 O 0.4755 0.2964 0.2498
22 O 0.5866 0.8644 0.5079
23 O 0.5915 0.7277 0.7694
24 O 0.7036 0.9534 0.1790
25 O 0.7089 0.1434 0.9703
26 O 0.7743 0.5245 0.8210
27 O 0.8566 0.8269 0.5655
28 O 0.9213 0.4134 0.2778
29 O 0.9583 0.8221 0.2306
30 F 0.5000 0.5000 0.0000

***

Record 3
Compound: Rb2NaNdF6
Source: the Alexandria database
Functional: GGA-PBEsol
Structure: optimized geometry

Computed properties:
**Energy relative to the elements, uncorrected**: -3250.8 meV per atom
**VASP energy**: -5.269 eV/atom

Unit cell a=6.3658 b=6.3658 c=6.3658 alpha=60.00 beta=60.00 gamma=60.00
Positions (direct):
1 Rb 0.2500 0.2500 0.2500
2 Rb 0.7500 0.7500 0.7500
3 Na 0.0000 0.0000 0.0000
4 Nd 0.5000 0.5000 0.5000
5 F 0.2503 0.2503 0.7497
6 F 0.2503 0.7497 0.2503
7 F 0.2503 0.7497 0.7497
8 F 0.7497 0.2503 0.2503
9 F 0.7497 0.2503 0.7497
10 F 0.7497 0.7497 0.2503